This record from Alexandria describes a relaxed BeVInO4 crystal. The functional is PBE+U.

Cell: 5.936 5.936 5.936 Å, 120.23 119.06 90.62°
Sites, in units of the cell vectors:
1 Be 0.369 0.119 0.250
2 Be 0.631 0.881 0.750
3 V 0.000 0.000 0.500
4 V 0.000 0.500 0.000
5 In 0.000 0.500 0.500
6 In 0.500 0.500 0.000
7 O 0.239 0.240 0.999
8 O 0.245 0.228 0.483
9 O 0.245 0.762 0.017
10 O 0.259 0.760 0.499
11 O 0.741 0.240 0.501
12 O 0.755 0.238 0.983
13 O 0.755 0.772 0.517
14 O 0.761 0.760 0.001

Output
Total magnetization = 4.00 μB per cell
VASP energy = -6.680 eV/atom